Entry 1:
K3YSe | GGA-PBE | optimized geometry

Geometry as POSCAR:
```
K3YSe
1.0
-3.173 -5.144 2.851
3.974 0.512 5.348
-4.335 4.234 2.815
Y K Se
1 3 1
Cartesian
0.000 0.000 0.000
1.987 0.256 2.674
-2.168 2.117 1.408
-1.586 -2.572 1.425
-1.767 -0.198 5.507
```

Values from the calculation:
For the energy above the most stable polymorph in this dataset, the calculation gives 820 meV per atom. The uncorrected formation energy is 0.811 eV/atom. The calculation puts the density of states at the Fermi level at 1.6212 states/eV/atom. The value obtained for the volume is 298 Å³/f.u. The space-group type is No. 221.

Entry 2:
KYSe2 | GGA-PBE | optimized geometry

Geometry as POSCAR:
```
KYSe2
1.0
-6.486 3.740 3.693
-2.078 -3.544 -0.061
6.067 -3.808 14.514
Y K Se
4 4 8
Cartesian
-1.187 -0.623 7.462
3.692 -5.963 13.047
-1.310 -2.988 10.684
-6.190 2.351 5.099
2.699 -2.932 9.203
-3.591 -1.521 3.177
-5.196 -0.679 8.943
1.094 -2.090 14.968
-2.028 -0.175 10.111
-6.554 0.218 3.082
-0.469 -3.436 8.035
4.057 -3.829 15.064
1.006 -1.984 11.792
-0.801 -3.158 3.214
-3.503 -1.628 6.354
-1.697 -0.453 14.932
```

Values from the calculation:
The uncorrected formation energy is -1.580 eV/atom. The calculation puts the density of states at the Fermi level at 0.0000 states/eV/atom. The value obtained for the volume is 139 Å³/f.u. The space-group type is No. 62.

Entry 3:
KYSe2 | GGA-PBE | optimized geometry

Geometry as POSCAR:
```
KYSe2
1.0
-1.322 -4.475 6.879
-3.516 -6.185 4.299
3.273 -1.700 -1.656
K Se Y
1 2 1
Cartesian
2.133 -3.845 0.734
0.776 -0.728 -0.178
-2.099 -9.701 8.213
0.114 -5.968 3.857
```

Values from the calculation:
The uncorrected formation energy is -1.572 eV/atom. The value obtained for the volume is 120 Å³/f.u. The space-group type is No. 8.

Entry 4:
KY2Se | GGA-PBE | optimized geometry

Geometry as POSCAR:
```
KY2Se
1.0
7.045 0.004 -0.010
6.091 3.539 -0.010
2.451 0.661 5.291
K Se Y
1 1 2
Cartesian
11.690 3.153 3.953
3.897 1.051 1.318
12.438 3.355 0.327
8.492 2.291 2.289
```

Values from the calculation:
The uncorrected formation energy is -0.557 eV/atom. The calculation puts the density of states at the Fermi level at 0.8926 states/eV/atom. The value obtained for the volume is 132 Å³/f.u. The space-group type is No. 71.

Entry 5:
KY2Se | GGA-PBE | optimized geometry

Geometry as POSCAR:
```
KY2Se
1.0
5.663 0.000 0.000
2.831 4.904 0.000
2.831 1.635 4.624
K Se Y
1 1 2
Cartesian
5.663 3.269 2.312
8.494 4.904 3.468
0.000 0.000 0.000
2.831 1.635 1.156
```

Values from the calculation:
The uncorrected formation energy is 0.196 eV/atom. The calculation puts the density of states at the Fermi level at 1.9330 states/eV/atom. The value obtained for the volume is 128 Å³/f.u. The space-group type is No. 216.

Entry 6:
KYSe3 | GGA-PBE | optimized geometry

Geometry as POSCAR:
```
KYSe3
1.0
-1.080 -4.262 3.394
2.744 -3.415 -3.415
4.707 1.012 2.769
Y K Se
1 1 3
Cartesian
0.000 0.000 0.000
3.185 -3.332 1.374
1.372 -1.707 -1.707
2.354 0.506 1.385
-0.540 -2.131 1.697
```

Values from the calculation:
For the energy above the most stable polymorph in this dataset, the calculation gives 0 meV per atom. The uncorrected formation energy is -1.034 eV/atom. The calculation puts the density of states at the Fermi level at 1.1240 states/eV/atom. The value obtained for the volume is 171 Å³/f.u. The space-group type is No. 221.

Entry 7:
KYSe2 | GGA-PBE | optimized geometry

Geometry as POSCAR:
```
KYSe2
1.0
7.633 0.000 0.000
0.000 12.113 0.000
0.000 0.000 5.778
Y K Se
4 4 8
Cartesian
0.360 4.541 0.361
7.273 7.572 3.250
3.456 10.598 3.250
4.176 1.515 0.361
7.153 10.642 0.361
0.480 1.471 3.249
4.297 4.585 3.249
3.336 7.528 0.361
3.723 10.857 0.361
3.910 1.256 3.249
0.093 4.800 3.249
7.540 7.313 0.361
0.777 10.129 3.250
6.855 1.984 0.361
3.039 4.073 0.361
4.594 8.040 3.250
```

Values from the calculation:
The uncorrected formation energy is -1.626 eV/atom. The calculation puts the density of states at the Fermi level at 0.0000 states/eV/atom. The value obtained for the volume is 134 Å³/f.u. The space-group type is No. 62.

Entry 8:
KY2Se | GGA-PBE | optimized geometry

Geometry as POSCAR:
```
KY2Se
1.0
6.630 0.000 0.000
0.000 6.630 0.000
3.315 3.315 9.011
Y K Se
4 2 2
Cartesian
6.630 1.657 2.253
6.630 4.972 2.253
4.972 3.315 6.758
8.287 3.315 6.758
3.315 3.315 0.000
3.315 6.630 4.505
0.000 0.000 0.000
6.630 3.315 4.505
```

Values from the calculation:
The uncorrected formation energy is -0.106 eV/atom. The calculation puts the density of states at the Fermi level at 1.1689 states/eV/atom. The value obtained for the volume is 198 Å³/f.u. The space-group type is No. 141.

Entry 9:
KY4Se | GGA-PBE | optimized geometry

Geometry as POSCAR:
```
KY4Se
1.0
0.000 4.749 4.749
4.749 0.000 4.749
4.749 4.749 0.000
K Y Se
1 4 1
Cartesian
7.124 7.124 7.124
3.562 5.937 5.937
5.937 5.937 3.562
5.937 3.562 5.937
3.562 3.562 3.562
0.000 0.000 0.000
```

Values from the calculation:
The uncorrected formation energy is 0.395 eV/atom. The calculation puts the density of states at the Fermi level at 1.1804 states/eV/atom. The value obtained for the volume is 214 Å³/f.u. The space-group type is No. 216.

Entry 10:
KY2Se2 | GGA-PBE | optimized geometry

Geometry as POSCAR:
```
KY2Se2
1.0
8.200 0.000 0.000
0.000 8.200 0.000
0.000 0.000 3.826
Y K Se
4 2 4
Cartesian
1.229 5.329 1.913
5.329 6.972 1.913
6.972 2.871 1.913
2.871 1.229 1.913
0.000 0.000 0.000
4.100 4.100 0.000
2.933 7.033 0.000
7.033 5.267 0.000
5.267 1.167 0.000
1.167 2.933 0.000
```

Values from the calculation:
For the energy above the most stable polymorph in this dataset, the calculation gives 76 meV per atom. The uncorrected formation energy is -1.047 eV/atom. The calculation puts the density of states at the Fermi level at 0.6453 states/eV/atom. The value obtained for the volume is 129 Å³/f.u. The space-group type is No. 127.

Entry 11:
KY3Se | GGA-PBE | optimized geometry

Geometry as POSCAR:
```
KY3Se
1.0
5.609 0.000 0.000
0.000 5.609 0.000
0.000 0.000 5.609
Y K Se
3 1 1
Cartesian
0.000 2.804 0.000
0.000 0.000 2.804
2.804 0.000 0.000
2.804 2.804 2.804
0.000 0.000 0.000
```

Values from the calculation:
For the energy above the most stable polymorph in this dataset, the calculation gives 0 meV per atom. The uncorrected formation energy is -0.213 eV/atom. The calculation puts the density of states at the Fermi level at 1.8783 states/eV/atom. The value obtained for the volume is 176 Å³/f.u. The space-group type is No. 221.

Entry 12:
KY2Se | GGA-PBE | optimized geometry

Geometry as POSCAR:
```
KY2Se
1.0
3.821 0.000 0.000
0.000 3.821 0.000
0.000 0.000 9.454
K Se Y
1 1 2
Cartesian
0.000 0.000 5.172
1.910 1.910 7.839
0.000 0.000 8.927
1.910 1.910 1.697
```

Values from the calculation:
The uncorrected formation energy is -0.669 eV/atom. The calculation puts the density of states at the Fermi level at 1.1635 states/eV/atom. The value obtained for the volume is 138 Å³/f.u. The space-group type is No. 99.